a | Zr3NbCl (PBE, optimized geometry); V = 27.94 Å³ per atom; SG = Pm-3m (221)
1.0
-3.084 2.192 3.551
-1.149 -4.690 1.898
4.012 0.342 3.273
Nb Zr Cl
1 3 1
Cartesian
0.000 0.000 0.000 Nb
-0.574 -2.345 0.949 Zr
-1.542 1.096 1.775 Zr
2.006 0.171 1.636 Zr
-0.110 -1.078 4.361 Cl

---

b | Zr3NbCl (PBE, optimized geometry); V = 21.89 Å³ per atom; SG = Pm-3m (221)
1.0
-3.946 -0.093 2.703
-1.330 -4.097 -2.082
2.356 -2.468 3.353
Nb Zr Cl
1 3 1
Cartesian
-1.460 -3.329 1.987 Nb
-0.665 -2.048 -1.041 Zr
-1.973 -0.047 1.352 Zr
1.178 -1.234 1.676 Zr
0.000 0.000 0.000 Cl

---

Quick look at relative energies in meV/atom: a 777; b 0.